Computed, not measured: an optimized crystal structure of BaMnRe2O8 at the PBE with a Hubbard U level of DFT. Values from VASP.

```
&SYSTEM
  ibrav = 0, nat = 12, ntyp = 4
/
ATOMIC_SPECIES
Ba 137.33 Ba.upf
Mn 54.94 Mn.upf
Re 186.21 Re.upf
O 16.00 O.upf
ATOMIC_POSITIONS angstrom
Ba 0.0000 0.0000 0.0000
Mn 0.0000 0.0000 3.7128
Re 0.0000 3.3867 5.6245
Re 2.9329 1.6933 1.8010
O -0.0118 1.6474 5.1265
O -1.5004 4.2665 5.1265
O 1.4208 0.8339 2.2990
O 0.0000 3.3867 7.4180
O 2.9329 1.6933 0.0076
O 1.5121 4.2461 5.1265
O 4.4333 0.8135 2.2990
O 2.9447 3.4326 2.2990
CELL_PARAMETERS angstrom
5.8659 0.0000 0.0000
-2.9329 5.0800 0.0000
0.0000 0.0000 7.4255
```

Properties
- Space group: P-3
- VASP energy: -7.94 eV/atom
- ρ: 5.198 g cm⁻³
- Spin magnetization: 7.04 μB/f.u.